First-principles (PBE-GGA) data for a relaxed structure of ZnCd4Ag6, as listed in Alexandria via LeMat-Bulk.

Cell and atoms, written as CIF:
```
data_ZnCd4Ag6
_chemical_formula_sum 'Zn2 Cd8 Ag12'
_cell_length_a 5.561
_cell_length_b 5.561
_cell_length_c 14.472
_cell_angle_alpha 90.00
_cell_angle_beta 90.00
_cell_angle_gamma 90.00
_symmetry_space_group_name_H-M 'I -4 2 m'
_symmetry_Int_Tables_number 121
_symmetry_space_group_name_Hall 'I -4 2'
loop_
_atom_site_label
_atom_site_type_symbol
_atom_site_fract_x
_atom_site_fract_y
_atom_site_fract_z
_atom_site_occupancy
Zn1 Zn 0.000 0.000 0.000 1
Cd1 Cd 0.195 0.195 0.833 1
Ag1 Ag 0.000 0.500 0.000 1
Ag2 Ag 0.186 0.186 0.636 1
```

Properties
- formation energy (eV/atom) = 0.085

First-principles (PBE-GGA) data for a relaxed structure of Zn8CdAg2, as listed in Alexandria via LeMat-Bulk.

Cell and atoms, written as CIF:
```
data_Zn8CdAg2
_chemical_formula_sum 'Zn16 Cd2 Ag4'
_cell_length_a 6.736
_cell_length_b 12.511
_cell_length_c 4.968
_cell_angle_alpha 90.00
_cell_angle_beta 115.47
_cell_angle_gamma 90.00
_symmetry_space_group_name_H-M 'C 1 2/m 1'
_symmetry_Int_Tables_number 12
_symmetry_space_group_name_Hall '-C 2y'
loop_
_atom_site_label
_atom_site_type_symbol
_atom_site_fract_x
_atom_site_fract_y
_atom_site_fract_z
_atom_site_occupancy
Zn1 Zn 0.000 0.223 0.000 1
Zn2 Zn 0.054 0.500 0.776 1
Zn3 Zn 0.210 0.116 0.708 1
Cd1 Cd 0.000 0.000 0.000 1
Ag1 Ag 0.000 0.306 0.500 1
```

Properties
- formation energy (eV/atom) = 0.068

First-principles (PBE-GGA) data for a relaxed structure of ZnCd4Ag, as listed in Alexandria via LeMat-Bulk.

Cell and atoms, written as CIF:
```
data_ZnCd4Ag
_chemical_formula_sum 'Zn4 Cd16 Ag4'
_cell_length_a 8.289
_cell_length_b 12.352
_cell_length_c 5.489
_cell_angle_alpha 90.00
_cell_angle_beta 113.75
_cell_angle_gamma 90.00
_symmetry_space_group_name_H-M 'C 1 2/c 1'
_symmetry_Int_Tables_number 15
_symmetry_space_group_name_Hall '-C 2yc'
loop_
_atom_site_label
_atom_site_type_symbol
_atom_site_fract_x
_atom_site_fract_y
_atom_site_fract_z
_atom_site_occupancy
Zn1 Zn 0.000 0.113 0.250 1
Cd1 Cd 0.112 0.306 0.567 1
Cd2 Cd 0.194 0.091 0.838 1
Ag1 Ag 0.000 0.499 0.750 1
```

Properties
- formation energy (eV/atom) = 0.041
- energy above the lowest structure with this stoichiometry (meV/atom) = 21

First-principles (PBE-GGA) data for a relaxed structure of ZnCdAg, as listed in Alexandria via LeMat-Bulk.

Cell and atoms, written as CIF:
```
data_ZnCdAg
_chemical_formula_sum 'Zn4 Cd4 Ag4'
_cell_length_a 6.308
_cell_length_b 6.308
_cell_length_c 6.308
_cell_angle_alpha 90.00
_cell_angle_beta 90.00
_cell_angle_gamma 90.00
_symmetry_space_group_name_H-M 'F -4 3 m'
_symmetry_Int_Tables_number 216
_symmetry_space_group_name_Hall 'F -4 2 3'
loop_
_atom_site_label
_atom_site_type_symbol
_atom_site_fract_x
_atom_site_fract_y
_atom_site_fract_z
_atom_site_occupancy
Zn1 Zn 0.000 0.000 0.000 1
Cd1 Cd 0.250 0.250 0.250 1
Ag1 Ag 0.250 0.250 0.750 1
```

Properties
- formation energy (eV/atom) = 0.113
- energy above the lowest structure with this stoichiometry (meV/atom) = 127

First-principles (PBE-GGA) data for a relaxed structure of Zn3CdAg2, as listed in Alexandria via LeMat-Bulk.

Cell and atoms, written as CIF:
```
data_Zn3CdAg2
_chemical_formula_sum 'Zn12 Cd4 Ag8'
_cell_length_a 12.614
_cell_length_b 4.079
_cell_length_c 8.896
_cell_angle_alpha 90.00
_cell_angle_beta 117.80
_cell_angle_gamma 90.00
_symmetry_space_group_name_H-M 'C 1 2/m 1'
_symmetry_Int_Tables_number 12
_symmetry_space_group_name_Hall '-C 2y'
loop_
_atom_site_label
_atom_site_type_symbol
_atom_site_fract_x
_atom_site_fract_y
_atom_site_fract_z
_atom_site_occupancy
Zn1 Zn 0.046 0.000 0.390 1
Zn2 Zn 0.118 0.500 0.611 1
Zn3 Zn 0.214 0.500 0.392 1
Cd1 Cd 0.130 0.000 0.131 1
Ag1 Ag 0.033 0.500 0.853 1
Ag2 Ag 0.202 0.000 0.857 1
```

Properties
- formation energy (eV/atom) = -0.009

First-principles (PBE-GGA) data for a relaxed structure of Zn7CdAg12, as listed in Alexandria via LeMat-Bulk.

Cell and atoms, written as CIF:
```
data_Zn7CdAg12
_chemical_formula_sum 'Zn21 Cd3 Ag36'
_cell_length_a 10.3257
_cell_length_b 10.3257
_cell_length_c 11.8710
_cell_angle_alpha 90.00
_cell_angle_beta 90.00
_cell_angle_gamma 120.00
_symmetry_space_group_name_H-M 'R -3'
_symmetry_Int_Tables_number 148
_symmetry_space_group_name_Hall '-R 3'
loop_
_atom_site_label
_atom_site_type_symbol
_atom_site_fract_x
_atom_site_fract_y
_atom_site_fract_z
_atom_site_occupancy
Zn1 Zn 0.0000 0.0000 0.0000 1
Zn2 Zn 0.0120 0.1678 0.3007 1
Cd1 Cd 0.0000 0.0000 0.5000 1
Ag1 Ag 0.0143 0.4529 0.1798 1
Ag2 Ag 0.0746 0.5887 0.5909 1
```

Properties
- formation energy (eV/atom) = 0.095

First-principles (PBE-GGA) data for a relaxed structure of Zn4CdAg4, as listed in Alexandria via LeMat-Bulk.

Cell and atoms, written as CIF:
```
data_Zn4CdAg4
_chemical_formula_sum 'Zn8 Cd2 Ag8'
_cell_length_a 8.554
_cell_length_b 8.554
_cell_length_c 4.148
_cell_angle_alpha 90.00
_cell_angle_beta 90.00
_cell_angle_gamma 90.00
_symmetry_space_group_name_H-M 'I 4/m m m'
_symmetry_Int_Tables_number 139
_symmetry_space_group_name_Hall '-I 4 2'
loop_
_atom_site_label
_atom_site_type_symbol
_atom_site_fract_x
_atom_site_fract_y
_atom_site_fract_z
_atom_site_occupancy
Zn1 Zn 0.000 0.345 0.000 1
Cd1 Cd 0.000 0.000 0.000 1
Ag1 Ag 0.171 0.171 0.500 1
```

Properties
- formation energy (eV/atom) = -0.019

First-principles (PBE-GGA) data for a relaxed structure of Zn2CdAg, as listed in Alexandria via LeMat-Bulk.

Cell and atoms, written as CIF:
```
data_Zn2CdAg
_chemical_formula_sum 'Zn2 Cd1 Ag1'
_cell_length_a 2.882
_cell_length_b 4.417
_cell_length_c 5.625
_cell_angle_alpha 90.00
_cell_angle_beta 104.54
_cell_angle_gamma 90.00
_symmetry_space_group_name_H-M 'P 1 m 1'
_symmetry_Int_Tables_number 6
_symmetry_space_group_name_Hall 'P -2y'
loop_
_atom_site_label
_atom_site_type_symbol
_atom_site_fract_x
_atom_site_fract_y
_atom_site_fract_z
_atom_site_occupancy
Zn1 Zn 0.000 0.000 0.000 1
Zn2 Zn 0.132 0.500 0.258 1
Cd1 Cd 0.387 0.500 0.772 1
Ag1 Ag 0.731 0.000 0.462 1
```

Properties
- formation energy (eV/atom) = 0.016

First-principles (PBE-GGA) data for a relaxed structure of ZnCd6Ag8, as listed in Alexandria via LeMat-Bulk.

Cell and atoms, written as CIF:
```
data_ZnCd6Ag8
_chemical_formula_sum 'Zn1 Cd6 Ag8'
_cell_length_a 7.8982
_cell_length_b 7.8982
_cell_length_c 5.7299
_cell_angle_alpha 90.00
_cell_angle_beta 90.00
_cell_angle_gamma 120.00
_symmetry_space_group_name_H-M 'P -3 1 m'
_symmetry_Int_Tables_number 162
_symmetry_space_group_name_Hall '-P 3 2'
loop_
_atom_site_label
_atom_site_type_symbol
_atom_site_fract_x
_atom_site_fract_y
_atom_site_fract_z
_atom_site_occupancy
Zn1 Zn 0.0000 0.0000 0.0000 1
Cd1 Cd 0.0000 0.3655 0.1602 1
Ag1 Ag 0.0000 0.2899 0.6562 1
Ag2 Ag 0.3333 0.6667 0.5000 1
```

Properties
- formation energy (eV/atom) = 0.037
- energy above the lowest structure with this stoichiometry (meV/atom) = 20

First-principles (PBE-GGA) data for a relaxed structure of Zn4Cd2Ag3, as listed in Alexandria via LeMat-Bulk.

Cell and atoms, written as CIF:
```
data_Zn4Cd2Ag3
_chemical_formula_sum 'Zn16 Cd8 Ag12'
_cell_length_a 9.855
_cell_length_b 16.618
_cell_length_c 5.189
_cell_angle_alpha 90.00
_cell_angle_beta 121.53
_cell_angle_gamma 90.00
_symmetry_space_group_name_H-M 'C 1 2/c 1'
_symmetry_Int_Tables_number 15
_symmetry_space_group_name_Hall '-C 2yc'
loop_
_atom_site_label
_atom_site_type_symbol
_atom_site_fract_x
_atom_site_fract_y
_atom_site_fract_z
_atom_site_occupancy
Zn1 Zn 0.002 0.226 0.499 1
Zn2 Zn 0.161 0.500 0.158 1
Cd1 Cd 0.205 0.345 0.452 1
Ag1 Ag 0.000 0.372 0.750 1
Ag2 Ag 0.164 0.110 0.917 1
```

Properties
- formation energy (eV/atom) = 0.078
- energy above the lowest structure with this stoichiometry (meV/atom) = 62

First-principles (PBE-GGA) data for a relaxed structure of Zn2CdAg2, as listed in Alexandria via LeMat-Bulk.

Cell and atoms, written as CIF:
```
data_Zn2CdAg2
_chemical_formula_sum 'Zn4 Cd2 Ag4'
_cell_length_a 7.417
_cell_length_b 7.417
_cell_length_c 3.176
_cell_angle_alpha 90.00
_cell_angle_beta 90.00
_cell_angle_gamma 90.00
_symmetry_space_group_name_H-M 'P 4/m b m'
_symmetry_Int_Tables_number 127
_symmetry_space_group_name_Hall '-P 4 2ab'
loop_
_atom_site_label
_atom_site_type_symbol
_atom_site_fract_x
_atom_site_fract_y
_atom_site_fract_z
_atom_site_occupancy
Zn1 Zn 0.127 0.373 0.000 1
Cd1 Cd 0.000 0.000 0.000 1
Ag1 Ag 0.169 0.669 0.500 1
```

Properties
- formation energy (eV/atom) = -0.001
- energy above the lowest structure with this stoichiometry (meV/atom) = 17

What did the first record say?
First-principles (PBE-GGA) data for a relaxed structure of ZnCd4Ag6, as listed in Alexandria via LeMat-Bulk.

Cell and atoms, written as CIF:
```
data_ZnCd4Ag6
_chemical_formula_sum 'Zn2 Cd8 Ag12'
_cell_length_a 5.561
_cell_length_b 5.561
_cell_length_c 14.472
_cell_angle_alpha 90.00
_cell_angle_beta 90.00
_cell_angle_gamma 90.00
_symmetry_space_group_name_H-M 'I -4 2 m'
_symmetry_Int_Tables_number 121
_symmetry_space_group_name_Hall 'I -4 2'
loop_
_atom_site_label
_atom_site_type_symbol
_atom_site_fract_x
_atom_site_fract_y
_atom_site_fract_z
_atom_site_occupancy
Zn1 Zn 0.000 0.000 0.000 1
Cd1 Cd 0.195 0.195 0.833 1
Ag1 Ag 0.000 0.500 0.000 1
Ag2 Ag 0.186 0.186 0.636 1
```

Properties
- formation energy (eV/atom) = 0.085